No. 1
Here is a relaxed structure of Ag2HgIr from Alexandria. Energies are from PBE.

Calculated values
**Raw total energy**: -3.36 eV/atom
**Energy of formation**: 0.36 eV/atom
**Space group**: No. 6

abc: 4.1190 2.9005 6.5841
angles: 64.01 90.00 90.00
Closest atoms and distances in Å follow each position.
Sites, in units of the cell vectors:
Ir1 0.5000 0.7492 0.7504  4 Hg 2.89, 6 Ag 2.90-3.02, 2 Ir 2.90
Hg1 0.0000 0.4869 0.5122  6 Ag 2.87-3.05, 4 Ir 2.89, 2 Hg 2.90
Ag1 0.0000 0.0036 0.9970  2 Hg 2.87-3.05, 6 Ag 2.90, 4 Ir 2.91
Ag2 0.5000 0.2604 0.2404  2 Ir 2.90-3.02, 6 Ag 2.90, 4 Hg 2.98-2.99

***

No. 2
Here is a relaxed structure of Pm3Al2Ni6 from Alexandria. Energies are from PBE.

Calculated values
**Raw total energy**: -5.61 eV/atom
**Energy of formation**: -0.48 eV/atom
**Space group**: No. 229

abc: 7.8421 7.8421 7.8421
angles: 109.47 109.47 109.47
Closest atoms and distances in Å follow each position.
Sites, in units of the cell vectors:
Pm1 0.7079 0.0000 0.7079  8 Ni 2.84-3.04
Pm2 0.2921 0.0000 0.2921  8 Ni 2.84-3.04
Pm3 0.0000 0.2921 0.2921  8 Ni 2.84-3.04
Pm4 0.0000 0.7079 0.7079  8 Ni 2.84-3.04
Pm5 0.2921 0.2921 0.0000  8 Ni 2.84-3.04
Pm6 0.7079 0.7079 0.0000  8 Ni 2.84-3.04
Al1 0.0000 0.5000 0.0000  6 Ni 2.50
Al2 0.5000 0.0000 0.0000  6 Ni 2.50
Al3 0.0000 0.0000 0.5000  6 Ni 2.50
Al4 0.5000 0.5000 0.5000  6 Ni 2.50
Ni1 0.6665 0.3330 0.6665  2 Al 2.50, 4 Ni 2.61
Ni2 0.6665 0.0000 0.3335  2 Al 2.50, 4 Ni 2.61
Ni3 0.3335 0.0000 0.6665  2 Al 2.50, 4 Ni 2.61
Ni4 0.3335 0.6670 0.3335  2 Al 2.50, 4 Ni 2.61
Ni5 0.0000 0.6665 0.3335  2 Al 2.50, 4 Ni 2.61
Ni6 0.6670 0.3335 0.3335  2 Al 2.50, 4 Ni 2.61
Ni7 0.3330 0.6665 0.6665  2 Al 2.50, 4 Ni 2.61
Ni8 0.0000 0.3335 0.6665  2 Al 2.50, 4 Ni 2.61
Ni9 0.3335 0.6665 0.0000  2 Al 2.50, 4 Ni 2.61
Ni10 0.6665 0.6665 0.3330  2 Al 2.50, 4 Ni 2.61
Ni11 0.3335 0.3335 0.6670  2 Al 2.50, 4 Ni 2.61
Ni12 0.6665 0.3335 0.0000  2 Al 2.50, 4 Ni 2.61

***

No. 3
Here is a relaxed structure of Ti3MnTl from Alexandria. Energies are from PBE.

Calculated values
**ΔE to the lowest computed polymorph**: 0.00 kcal/mol of atoms
**Raw total energy**: -7.01 eV/atom
**Energy of formation**: 0.03 eV/atom
**Space group**: No. 12

abc: 3.0574 6.5619 9.5343
angles: 103.61 90.00 103.47
Closest atoms and distances in Å follow each position.
Sites, in units of the cell vectors:
Ti1 0.0437 0.0874 0.3731  4 Mn 2.50-2.51
Ti2 0.9563 0.9126 0.6269  4 Mn 2.50-2.51
Ti3 0.3667 0.7335 0.1664  1 Mn 2.28
Ti4 0.6333 0.2665 0.8336  1 Mn 2.28
Ti5 0.2541 0.5083 0.6292  2 Mn 2.43
Ti6 0.7459 0.4917 0.3708  2 Mn 2.43
Mn1 0.6017 0.2033 0.5873  7 Ti 2.28-2.51
Mn2 0.3983 0.7967 0.4127  7 Ti 2.28-2.51
Tl1 0.8821 0.7643 0.8980  6 Ti 2.96-3.09, 3 Tl 3.06-3.16
Tl2 0.1179 0.2357 0.1020  6 Ti 2.96-3.09, 3 Tl 3.06-3.16

***

No. 4
Here is a relaxed structure of GdBiTe2 from Alexandria. Energies are from PBE.

Calculated values
**Raw total energy**: -6.78 eV/atom
**Space group**: No. 166

abc: 4.2219 4.2219 10.1604
angles: 78.01 78.01 60.00
Closest atoms and distances in Å follow each position.
Sites, in units of the cell vectors:
Gd1 0.5000 0.5000 0.5000  6 Te 3.06
Te1 0.1040 0.1040 0.6881  3 Gd 3.06, 1 Bi 3.08
Te2 0.8960 0.8960 0.3119  3 Gd 3.06, 1 Bi 3.08
Bi1 0.0000 0.0000 0.0000  2 Te 3.08

***

No. 5
Here is a relaxed structure of TmPaHg2 from Alexandria. Energies are from PBE.

Calculated values
**ΔE to the lowest computed polymorph**: 2.93 kcal/mol of atoms
**Raw total energy**: -3.67 eV/atom
**Energy of formation**: -0.03 eV/atom
**Space group**: No. 123

abc: 4.4546 4.7296 4.7296
angles: 90.00 90.00 90.00
Closest atoms and distances in Å follow each position.
Sites, in units of the cell vectors:
Pa1 0.5000 0.5000 0.5000  8 Hg 3.25, 4 Tm 3.34
Tm1 0.5000 0.0000 0.0000  8 Hg 3.25, 4 Pa 3.34
Hg1 0.0000 0.0000 0.5000  4 Pa 3.25, 4 Tm 3.25, 4 Hg 3.34
Hg2 0.0000 0.5000 0.0000  4 Pa 3.25, 4 Tm 3.25, 4 Hg 3.34

***

No. 6
Here is a relaxed structure of TbPr2Dy from Alexandria. Energies are from PBE.

Calculated values
**ΔE to the lowest computed polymorph**: 0.18 kcal/mol of atoms
**Raw total energy**: -4.68 eV/atom
**Energy of formation**: 0.02 eV/atom
**Space group**: No. 160

abc: 3.6482 3.6482 11.9673
angles: 81.23 81.23 60.00
Closest atoms and distances in Å follow each position.
Sites, in units of the cell vectors:
Tb1 0.6673 0.6673 0.9980  6 Pr 3.61-3.66, 6 Tb 3.65
Pr1 0.0836 0.0836 0.7493  3 Dy 3.61, 3 Tb 3.61, 6 Pr 3.65
Pr2 0.2494 0.2494 0.2519  3 Dy 3.61, 6 Pr 3.65, 3 Tb 3.66
Dy1 0.4997 0.4997 0.5008  6 Pr 3.61, 6 Dy 3.65

***

No. 7
Here is a relaxed structure of SiOs3S from Alexandria. Energies are from PBE.

Calculated values
**ΔE to the lowest computed polymorph**: 0.00 kcal/mol of atoms
**Raw total energy**: -7.29 eV/atom
**Space group**: No. 221

abc: 4.3485 4.3485 4.3485
angles: 90.00 90.00 90.00
Closest atoms and distances in Å follow each position.
Sites, in units of the cell vectors:
S1 0.0000 0.0000 0.0000  6 Os 2.17
Os1 0.0000 0.5000 0.0000  2 S 2.17
Os2 0.0000 0.0000 0.5000  2 S 2.17
Os3 0.5000 0.0000 0.0000  2 S 2.17
Si1 0.5000 0.5000 0.5000  12 Os 3.07

***

No. 8
Here is a relaxed structure of MnBiAs from Alexandria. Energies are from PBE.

Calculated values
**Raw total energy**: -5.86 eV/atom
**Energy of formation**: 0.04 eV/atom
**Space group**: No. 14

abc: 6.5533 6.5662 6.6079
angles: 118.12 90.00 90.00
Closest atoms and distances in Å follow each position.
Sites, in units of the cell vectors:
Bi1 0.3626 0.8437 0.6523  3 Mn 2.76-2.78, 1 As 2.89
Bi2 0.6374 0.1563 0.3477  3 Mn 2.76-2.78, 1 As 2.89
Bi3 0.1374 0.8437 0.1523  3 Mn 2.76-2.78, 1 As 2.89
Bi4 0.8626 0.1563 0.8477  3 Mn 2.76-2.78, 1 As 2.89
As1 0.3567 0.3483 0.1454  3 Mn 2.40-2.47
As2 0.6433 0.6517 0.8546  3 Mn 2.40-2.47
As3 0.8567 0.6517 0.3546  3 Mn 2.40-2.47
As4 0.1433 0.3483 0.6454  3 Mn 2.40-2.47
Mn1 0.9807 0.7058 0.7192  3 As 2.40-2.47
Mn2 0.5193 0.7058 0.2192  3 As 2.40-2.47
Mn3 0.0193 0.2942 0.2808  3 As 2.40-2.47
Mn4 0.4807 0.2942 0.7808  3 As 2.40-2.47